Entry 1:
# PBE NiRuRh2, optimized geometry
data_NiRuRh2
_symmetry_space_group_name_H-M 'P 1'
_symmetry_Int_Tables_number 1
_symmetry_space_group_name_Hall 'P 1'
_cell_length_a 2.6469
_cell_length_b 2.6469
_cell_length_c 9.0079
_cell_angle_alpha 90.00
_cell_angle_beta 90.00
_cell_angle_gamma 118.85
loop_
_atom_site_label
_atom_site_fract_x
_atom_site_fract_y
_atom_site_fract_z
_atom_site_occupancy
Rh1 0.0000 0.0000 0.9927 1
Ru1 0.5000 0.5000 0.2500 1
Ni1 0.5000 0.5000 0.7500 1
Rh2 0.0000 0.0000 0.5073 1
# **Formation energy**: 0.29 eV/atom
# **SG**: Cmmm (65)

Entry 2:
# PBE Ni2RuRh, optimized geometry
data_Ni2RuRh
_symmetry_space_group_name_H-M 'P 1'
_symmetry_Int_Tables_number 1
_symmetry_space_group_name_Hall 'P 1'
_cell_length_a 3.7467
_cell_length_b 3.7467
_cell_length_c 3.5781
_cell_angle_alpha 90.00
_cell_angle_beta 90.00
_cell_angle_gamma 90.00
loop_
_atom_site_label
_atom_site_fract_x
_atom_site_fract_y
_atom_site_fract_z
_atom_site_occupancy
Rh1 0.5000 0.0000 0.5000 1
Ni1 0.0000 0.0000 0.0000 1
Ni2 0.5000 0.5000 0.0000 1
Ru1 0.0000 0.5000 0.5000 1
# **Formation energy**: 0.13 eV/atom
# **SG**: P4/mmm (123)

no.,total DFT energy (no corrections) (eV per atom),ΔE to the lowest computed polymorph (eV/f.u.)
1,-7.149,1.04
2,-6.922,0.32